Compound: ZrGa2
Source: Alexandria via LeMat-Bulk
Functional: SCAN
Structure: single point on PBEsol structure

Summary:
For the total moment, the calculation gives 0.00 μB per formula unit. As for the density of states at the Fermi level: 0.3291 states/eV per atom. The space-group type is No. 65. Its formation enthalpy at 0 K is -0.67 eV per atom.

Unit cell a=3.957 b=4.087 c=6.695 alpha=90.00 beta=107.19 gamma=90.00
Fractional coordinates of all 6 atoms:
Ga 0.000 0.000 0.000
Ga 0.178 0.500 0.355
Ga 0.822 0.500 0.645
Ga 0.500 0.500 0.000
Zr 0.350 0.000 0.700
Zr 0.650 0.000 0.300

=====

Compound: Zr3Ga5
Source: Alexandria via LeMat-Bulk
Functional: SCAN
Structure: single point on PBEsol structure

Summary:
For the total moment, the calculation gives 0.00 μB per formula unit. As for the density of states at the Fermi level: 0.3728 states/eV per atom. The space-group type is No. 63. Its formation enthalpy at 0 K is -0.74 eV per atom.

Unit cell a=5.625 b=5.625 c=8.952 alpha=90.00 beta=90.00 gamma=102.46
Fractional coordinates of all 16 atoms:
Zr 0.205 0.795 0.000
Zr 0.795 0.205 0.500
Zr 0.364 0.364 0.250
Zr 0.795 0.205 0.000
Zr 0.205 0.795 0.500
Zr 0.636 0.636 0.750
Ga 0.316 0.316 0.550
Ga 0.983 0.983 0.250
Ga 0.316 0.316 0.950
Ga 0.684 0.684 0.450
Ga 0.684 0.684 0.050
Ga 0.503 0.921 0.250
Ga 0.017 0.017 0.750
Ga 0.497 0.079 0.750
Ga 0.921 0.503 0.250
Ga 0.079 0.497 0.750

=====

Compound: Zr2Ga
Source: Alexandria via LeMat-Bulk
Functional: SCAN
Structure: single point on PBEsol structure

Summary:
For the total moment, the calculation gives 0.00 μB per formula unit. As for the density of states at the Fermi level: 0.9260 states/eV per atom. The space-group type is No. 140. Its formation enthalpy at 0 K is -0.57 eV per atom.

Unit cell a=5.394 b=5.394 c=5.394 alpha=104.49 beta=104.49 gamma=119.97
Fractional coordinates of all 6 atoms:
Ga 0.750 0.750 0.000
Ga 0.250 0.250 0.000
Zr 0.653 0.153 0.807
Zr 0.153 0.347 0.500
Zr 0.847 0.653 0.500
Zr 0.347 0.847 0.193

=====

Compound: GdGe
Source: Alexandria via LeMat-Bulk
Functional: SCAN
Structure: single point on PBEsol structure

Summary:
For the total moment, the calculation gives 7.59 μB per formula unit. As for the density of states at the Fermi level: 0.4791 states/eV per atom. The space-group type is No. 63. Its formation enthalpy at 0 K is -0.91 eV per atom.

Unit cell a=3.939 b=4.283 c=5.766 alpha=68.20 beta=90.00 gamma=90.00
Site moments in Bohr magnetons follow the coordinates.
Fractional coordinates of all 4 atoms:
Gd 0.250 0.139 0.722  7.30
Gd 0.750 0.861 0.278  7.30
Ge 0.750 0.583 0.835  -0.08
Ge 0.250 0.417 0.165  -0.08

=====

Compound: NaGdGeO4
Source: Alexandria via LeMat-Bulk
Functional: SCAN
Structure: single point on PBEsol structure

Summary:
For the total moment, the calculation gives 6.99 μB per formula unit. As for the density of states at the Fermi level: 0.0000 states/eV per atom. The space-group type is No. 62. The energy relative to the elements, uncorrected is -2.630 eV/atom.

Unit cell a=5.296 b=6.504 c=11.525 alpha=90.00 beta=90.00 gamma=90.00
Site moments in Bohr magnetons follow the coordinates.
Fractional coordinates of all 28 atoms:
O 0.178 0.750 0.545  -0.01
O 0.208 0.957 0.328  -0.03
O 0.322 0.750 0.045  -0.01
O 0.708 0.043 0.172  -0.03
O 0.729 0.750 0.391  -0.01
O 0.771 0.750 0.891  -0.01
O 0.822 0.250 0.455  -0.01
O 0.708 0.457 0.172  -0.03
O 0.229 0.250 0.109  -0.01
O 0.678 0.250 0.955  -0.01
O 0.792 0.457 0.672  -0.03
O 0.292 0.957 0.828  -0.03
O 0.292 0.543 0.828  -0.03
O 0.271 0.250 0.609  -0.01
O 0.792 0.043 0.672  -0.03
O 0.208 0.543 0.328  -0.03
Gd 0.004 0.750 0.722  6.97
Gd 0.996 0.250 0.278  6.97
Gd 0.504 0.250 0.778  6.97
Gd 0.496 0.750 0.222  6.97
Na 0.000 0.500 0.000  0.00
Na 0.500 0.000 0.500  0.00
Na 0.500 0.500 0.500  0.00
Na 0.000 0.000 0.000  0.00
Ge 0.445 0.750 0.904  0.00
Ge 0.055 0.750 0.404  0.00
Ge 0.555 0.250 0.096  0.00
Ge 0.945 0.250 0.596  0.00

=====

Compound: Gd3Ge13Os4
Source: Alexandria via LeMat-Bulk
Functional: SCAN
Structure: single point on PBEsol structure

Summary:
For the total moment, the calculation gives 21.19 μB per formula unit. As for the density of states at the Fermi level: 0.3862 states/eV per atom. The space-group type is No. 223. Its formation enthalpy at 0 K is -0.40 eV per atom.

Unit cell a=8.985 b=8.985 c=8.985 alpha=90.00 beta=90.00 gamma=90.00
Site moments in Bohr magnetons follow the coordinates.
Fractional coordinates of all 40 atoms:
Ge 0.145 0.702 0.000  0.01
Ge 0.500 0.500 0.500  -0.01
Ge 0.798 0.355 0.500  0.01
Ge 0.000 0.855 0.298  0.01
Ge 0.355 0.500 0.798  0.01
Ge 0.855 0.298 0.000  0.01
Ge 0.500 0.202 0.645  0.01
Ge 0.000 0.145 0.298  0.01
Ge 0.500 0.798 0.355  0.01
Ge 0.202 0.355 0.500  0.01
Ge 0.145 0.298 0.000  0.01
Ge 0.645 0.500 0.798  0.01
Ge 0.500 0.202 0.355  0.01
Ge 0.298 0.000 0.145  0.01
Ge 0.645 0.500 0.202  0.01
Ge 0.000 0.000 0.000  -0.01
Ge 0.798 0.645 0.500  0.01
Ge 0.855 0.702 0.000  0.01
Ge 0.702 0.000 0.855  0.01
Ge 0.500 0.798 0.645  0.01
Ge 0.000 0.145 0.702  0.01
Ge 0.298 0.000 0.855  0.01
Ge 0.000 0.855 0.702  0.01
Ge 0.355 0.500 0.202  0.01
Ge 0.202 0.645 0.500  0.01
Ge 0.702 0.000 0.145  0.01
Os 0.250 0.250 0.250  0.08
Os 0.250 0.750 0.750  0.08
Os 0.250 0.250 0.750  0.08
Os 0.750 0.750 0.250  0.08
Os 0.750 0.250 0.750  0.08
Os 0.750 0.750 0.750  0.08
Os 0.750 0.250 0.250  0.08
Os 0.250 0.750 0.250  0.08
Gd 0.000 0.500 0.250  -7.06
Gd 0.000 0.500 0.750  -7.06
Gd 0.250 0.000 0.500  -7.06
Gd 0.500 0.250 0.000  -7.06
Gd 0.750 0.000 0.500  -7.06
Gd 0.500 0.750 0.000  -7.06

=====

Compound: GdGe2Pd2
Source: Alexandria via LeMat-Bulk
Functional: SCAN
Structure: single point on PBEsol structure

Summary:
For the total moment, the calculation gives 7.28 μB per formula unit. As for the density of states at the Fermi level: 0.5152 states/eV per atom. The space-group type is No. 139. Its formation enthalpy at 0 K is -0.89 eV per atom.

Unit cell a=4.216 b=4.216 c=5.863 alpha=111.07 beta=111.07 gamma=90.00
Site moments in Bohr magnetons follow the coordinates.
Fractional coordinates of all 5 atoms:
Pd 0.750 0.250 0.500  0.00
Pd 0.250 0.750 0.500  0.00
Ge 0.380 0.380 0.761  -0.01
Ge 0.620 0.620 0.239  -0.01
Gd 0.000 0.000 0.000  7.11

=====

Compound: GdGe4Rh6
Source: Alexandria via LeMat-Bulk
Functional: SCAN
Structure: single point on PBEsol structure

Summary:
For the total moment, the calculation gives 7.12 μB per formula unit. As for the density of states at the Fermi level: 0.3651 states/eV per atom. The space-group type is No. 187. Its formation enthalpy at 0 K is -0.86 eV per atom.

Unit cell a=3.807 b=7.106 c=7.106 alpha=120.00 beta=90.00 gamma=90.00
Site moments in Bohr magnetons follow the coordinates.
Fractional coordinates of all 11 atoms:
Rh 0.000 0.467 0.933  0.01
Rh 0.500 0.399 0.200  0.03
Rh 0.000 0.067 0.533  0.01
Rh 0.000 0.467 0.533  0.01
Rh 0.500 0.800 0.200  0.03
Rh 0.500 0.800 0.601  0.03
Gd 0.000 0.000 0.000  -7.08
Ge 0.000 0.667 0.333  0.00
Ge 0.500 0.605 0.803  0.00
Ge 0.500 0.197 0.395  0.00
Ge 0.500 0.197 0.803  0.00

=====

Question: total moment of number 6 (Gd3Ge13Os4)?
Answer: 21.19 μB per formula unit

=====

Question: What is the total moment in the fourth record?
Answer: 7.59 μB per formula unit